No. 1
{"formula": "SnAs2W", "functional": "PBE", "state": "relaxed", "final_energy_ev_per_atom": -6.470, "dos_ef_per_ev_cell": 1.791, "lattice_angstrom": [[3.2146, 0.0000, 0.0000], [0.0000, 3.2146, 0.0000], [0.0000, 0.0000, 7.4694]], "species": ["Sn", "As", "As", "W"], "fractional_positions": [[0.0000, 0.0000, 0.0000], [0.5000, 0.5000, 0.3057], [0.5000, 0.5000, 0.6943], [0.0000, 0.0000, 0.5000]]}


No. 2
{"formula": "Rb3Tb2HfS6", "functional": "PBE", "state": "relaxed", "final_energy_ev_per_atom": -5.596, "formation_energy_uncorrected_mev_per_atom": -1689, "dos_ef_per_ev_cell": 3.941, "lattice_angstrom": [[3.4437, -5.9645, 0.0000], [3.4437, 5.9645, 0.0000], [-2.3010, 0.0000, 7.6982]], "species": ["Rb", "Rb", "Rb", "Tb", "Tb", "Hf", "S", "S", "S", "S", "S", "S"], "fractional_positions": [[0.0000, 0.0000, 0.0000], [0.3297, 0.6703, 0.0000], [0.6703, 0.3297, 0.0000], [0.1664, 0.8336, 0.5000], [0.8336, 0.1664, 0.5000], [0.5000, 0.5000, 0.5000], [0.1214, 0.4363, 0.3092], [0.2495, 0.2495, 0.6921], [0.4363, 0.1214, 0.3092], [0.5637, 0.8786, 0.6908], [0.7505, 0.7505, 0.3079], [0.8786, 0.5637, 0.6908]]}


No. 3
{"formula": "SiH4", "functional": "PBE", "state": "relaxed", "final_energy_ev_per_atom": -3.771, "dos_ef_per_ev_cell": 0.000, "lattice_angstrom": [[3.9982, -2.0894, 0.0000], [3.9982, 2.0894, 0.0000], [-3.7172, 0.0000, 6.8520]], "species": ["Si", "Si", "H", "H", "H", "H", "H", "H", "H", "H"], "fractional_positions": [[0.0727, 0.9273, 0.7500], [0.9273, 0.0727, 0.2500], [0.0374, 0.3036, 0.8072], [0.2499, 0.6893, 0.5820], [0.3036, 0.0374, 0.3072], [0.3107, 0.7501, 0.9180], [0.6893, 0.2499, 0.0820], [0.6964, 0.9626, 0.6928], [0.7501, 0.3107, 0.4180], [0.9626, 0.6964, 0.1928]]}


No. 4
{"formula": "CrSb3", "functional": "PBE", "state": "relaxed", "final_energy_ev_per_atom": -5.232, "formation_energy_uncorrected_mev_per_atom": 266, "dos_ef_per_ev_cell": 2.354, "lattice_angstrom": [[3.4132, 0.0000, 0.0000], [0.0000, 3.4132, 0.0000], [0.0000, 0.0000, 7.9816]], "species": ["Cr", "Sb", "Sb", "Sb"], "fractional_positions": [[0.0000, 0.0000, 0.0000], [0.0000, 0.0000, 0.5000], [0.5000, 0.5000, 0.1965], [0.5000, 0.5000, 0.8035]]}


No. 5
{"formula": "PrEu2N", "functional": "PBE", "state": "relaxed", "final_energy_ev_per_atom": -8.869, "formation_energy_uncorrected_mev_per_atom": -456, "dos_ef_per_ev_cell": 7.953, "lattice_angstrom": [[1.7947, 1.0362, 10.1610], [-1.7947, 1.0362, 10.1610], [0.0000, -2.0724, 10.1610]], "species": ["Pr", "Eu", "Eu", "N"], "fractional_positions": [[0.0000, 0.0000, 0.0000], [0.1207, 0.1207, 0.1207], [0.8793, 0.8793, 0.8793], [0.5000, 0.5000, 0.5000]]}


No. 6
{"formula": "Ir7PtRh2", "functional": "PBE", "state": "relaxed", "final_energy_ev_per_atom": -8.267, "dos_ef_per_ev_cell": 9.323, "lattice_angstrom": [[4.7436, 0.0000, 0.0000], [-0.7766, 4.6843, 0.0000], [-2.3660, -2.0047, 6.5536]], "species": ["Ir", "Ir", "Ir", "Ir", "Ir", "Ir", "Ir", "Pt", "Rh", "Rh"], "fractional_positions": [[0.0000, 0.0000, 0.0000], [0.2010, 0.1000, 0.7009], [0.2018, 0.6016, 0.1989], [0.3976, 0.1951, 0.3978], [0.6024, 0.8049, 0.6022], [0.7982, 0.3984, 0.8011], [0.7990, 0.9000, 0.2991], [0.0000, 0.5000, 0.5000], [0.4016, 0.7023, 0.9036], [0.5984, 0.2977, 0.0964]]}


No. 7
{"formula": "CoCuAsC2", "functional": "PBE", "state": "relaxed", "final_energy_ev_per_atom": -4.520, "dos_ef_per_ev_cell": 5.755, "lattice_angstrom": [[3.8808, 0.0000, 0.0000], [0.0000, 3.8808, 0.0000], [0.0000, 0.0000, 4.5845]], "species": ["Co", "Cu", "As", "C", "C"], "fractional_positions": [[0.0000, 0.0000, 0.0000], [0.5000, 0.5000, 0.0000], [0.5000, 0.5000, 0.5000], [0.0000, 0.5000, 0.5000], [0.5000, 0.0000, 0.5000]]}


No. 8
{"formula": "TaAsRu2W", "functional": "PBE", "state": "relaxed", "final_energy_ev_per_atom": -8.657, "dos_ef_per_ev_cell": 2.663, "lattice_angstrom": [[4.4112, 0.0000, 0.0000], [0.0000, 4.4112, 0.0000], [0.0000, 0.0000, 4.6217]], "species": ["Ta", "As", "Ru", "Ru", "W"], "fractional_positions": [[0.0000, 0.0000, 0.0000], [0.5000, 0.5000, 0.5000], [0.0000, 0.5000, 0.5000], [0.5000, 0.0000, 0.5000], [0.5000, 0.5000, 0.0000]]}


No. 9
{"formula": "La8IrRh3Br3", "functional": "PBE", "state": "relaxed", "final_energy_ev_per_atom": -6.092, "formation_energy_uncorrected_mev_per_atom": -1068, "dos_ef_per_ev_cell": 6.651, "lattice_angstrom": [[8.3861, 0.0000, 0.0000], [-4.1880, 7.2881, 0.0000], [-4.1821, -2.4206, 7.8488]], "species": ["La", "La", "La", "La", "La", "La", "La", "La", "Ir", "Rh", "Rh", "Rh", "Br", "Br", "Br"], "fractional_positions": [[0.0332, 0.2655, 0.3022], [0.0333, 0.7675, 0.3024], [0.4637, 0.2319, 0.6975], [0.4665, 0.7334, 0.6979], [0.5335, 0.2666, 0.3021], [0.5363, 0.7681, 0.3025], [0.9667, 0.2325, 0.6976], [0.9668, 0.7345, 0.6978], [0.0000, 0.0000, 0.5000], [0.0000, 0.5000, 0.5000], [0.5000, 0.0000, 0.5000], [0.5000, 0.5000, 0.5000], [0.0000, 0.0000, 0.0000], [0.5000, 0.0000, 0.0000], [0.5000, 0.5000, 0.0000]]}


No. 10
{"formula": "Li4TmAl", "functional": "PBE", "state": "relaxed", "final_energy_ev_per_atom": -2.678, "dos_ef_per_ev_cell": 1.762, "lattice_angstrom": [[0.0000, 3.8054, 3.8054], [3.8054, 0.0000, 3.8054], [3.8054, 3.8054, 0.0000]], "species": ["Li", "Li", "Li", "Li", "Tm", "Al"], "fractional_positions": [[0.1237, 0.1237, 0.1237], [0.1237, 0.1237, 0.6290], [0.1237, 0.6290, 0.1237], [0.6290, 0.1237, 0.1237], [0.5000, 0.5000, 0.5000], [0.7500, 0.7500, 0.7500]]}


No. 11
{"formula": "CrSiH2I", "functional": "PBE", "state": "relaxed", "final_energy_ev_per_atom": -3.750, "dos_ef_per_ev_cell": 2.634, "lattice_angstrom": [[3.6888, 0.0000, 0.0000], [0.0000, 3.6888, 0.0000], [0.0000, 0.0000, 8.4109]], "species": ["Cr", "Si", "H", "H", "I"], "fractional_positions": [[0.0000, 0.0000, 0.0000], [0.5000, 0.5000, 0.0000], [0.0000, 0.5000, 0.5000], [0.5000, 0.0000, 0.5000], [0.5000, 0.5000, 0.5000]]}


No. 12
{"formula": "SrCa3Rh", "functional": "PBE", "state": "relaxed", "final_energy_ev_per_atom": -3.007, "dos_ef_per_ev_cell": 12.161, "lattice_angstrom": [[5.6833, 0.0000, 0.0000], [-2.8416, 4.9219, 0.0000], [0.0000, 0.0000, 11.4155]], "species": ["Sr", "Sr", "Ca", "Ca", "Ca", "Ca", "Ca", "Ca", "Rh", "Rh"], "fractional_positions": [[0.3333, 0.6667, 0.2500], [0.6667, 0.3333, 0.7500], [0.0000, 0.0000, 0.2500], [0.0000, 0.0000, 0.7500], [0.3333, 0.6667, 0.5672], [0.3333, 0.6667, 0.9328], [0.6667, 0.3333, 0.0672], [0.6667, 0.3333, 0.4328], [0.0000, 0.0000, 0.0000], [0.0000, 0.0000, 0.5000]]}


No. 13
{"formula": "Li3La3TiS8", "functional": "PBE", "state": "relaxed", "final_energy_ev_per_atom": -5.801, "formation_energy_uncorrected_mev_per_atom": -1705, "lattice_angstrom": [[4.0567, 2.3422, 6.0750], [-4.0567, 2.3422, 6.0750], [0.0000, -4.6843, 6.0750]], "species": ["Li", "Li", "Li", "La", "La", "La", "Ti", "S", "S", "S", "S", "S", "S", "S", "S"], "fractional_positions": [[0.0000, 0.5000, 0.5000], [0.5000, 0.0000, 0.5000], [0.5000, 0.5000, 0.0000], [0.0000, 0.0000, 0.5000], [0.0000, 0.5000, 0.0000], [0.5000, 0.0000, 0.0000], [0.5000, 0.5000, 0.5000], [0.2541, 0.2541, 0.2541], [0.2758, 0.2758, 0.7121], [0.2758, 0.7121, 0.2758], [0.2879, 0.7242, 0.7242], [0.7121, 0.2758, 0.2758], [0.7242, 0.2879, 0.7242], [0.7242, 0.7242, 0.2879], [0.7459, 0.7459, 0.7459]]}


No. 14
{"formula": "KW2", "functional": "PBE", "state": "relaxed", "final_energy_ev_per_atom": -7.710, "dos_ef_per_ev_cell": 2.917, "lattice_angstrom": [[-1.4814, 2.0606, 6.4809], [1.4814, -2.0606, 6.4809], [1.4814, 2.0606, -6.4809]], "species": ["K", "W", "W"], "fractional_positions": [[0.0000, 0.0000, 0.0000], [0.2699, 0.2699, 0.0000], [0.7301, 0.7301, 0.0000]]}


No. 15
{"formula": "BeNiSe", "functional": "PBE", "state": "relaxed", "final_energy_ev_per_atom": -4.556, "formation_energy_uncorrected_mev_per_atom": -225, "dos_ef_per_ev_cell": 2.242, "lattice_angstrom": [[3.1511, -2.5480, 0.0000], [3.1511, 2.5480, 0.0000], [-2.3340, 0.0000, 5.0445]], "species": ["Be", "Be", "Ni", "Ni", "Se", "Se"], "fractional_positions": [[0.0783, 0.0783, 0.2282], [0.9217, 0.9217, 0.7718], [0.5002, 0.1393, 0.0408], [0.8607, 0.4998, 0.9592], [0.2375, 0.3810, 0.6840], [0.6190, 0.7625, 0.3160]]}


No. 16
{"formula": "CaSc2Cl", "functional": "PBE", "state": "relaxed", "final_energy_ev_per_atom": -4.415, "formation_energy_uncorrected_mev_per_atom": -287, "dos_ef_per_ev_cell": 5.140, "lattice_angstrom": [[1.7649, 1.0190, 9.3743], [-1.7649, 1.0190, 9.3743], [0.0000, -2.0380, 9.3743]], "species": ["Ca", "Sc", "Sc", "Cl"], "fractional_positions": [[0.0000, 0.0000, 0.0000], [0.1115, 0.1115, 0.1115], [0.8885, 0.8885, 0.8885], [0.5000, 0.5000, 0.5000]]}


No. 17
{"formula": "Pa2InCu2S6", "functional": "PBE", "state": "relaxed", "final_energy_ev_per_atom": -5.980, "formation_energy_uncorrected_mev_per_atom": -1008, "dos_ef_per_ev_cell": 6.707, "lattice_angstrom": [[7.1237, 0.0000, 0.0000], [-3.4304, 6.3994, 0.0000], [-3.4576, -1.9188, 6.1368]], "species": ["Pa", "Pa", "In", "Cu", "Cu", "S", "S", "S", "S", "S", "S"], "fractional_positions": [[0.1603, 0.3293, 0.4886], [0.8397, 0.6707, 0.5114], [0.5000, 0.0000, 0.5000], [0.3698, 0.3208, 0.0647], [0.6302, 0.6792, 0.9353], [0.0414, 0.0824, 0.7408], [0.2803, 0.6904, 0.7357], [0.3522, 0.5500, 0.2589], [0.6478, 0.4500, 0.7411], [0.7197, 0.3096, 0.2643], [0.9586, 0.9176, 0.2592]]}


No. 18
{"formula": "SiPdI2N", "functional": "PBE", "state": "relaxed", "final_energy_ev_per_atom": -4.022, "formation_energy_uncorrected_mev_per_atom": 386, "dos_ef_per_ev_cell": 3.777, "lattice_angstrom": [[5.7421, 0.0000, 0.0000], [0.0000, 5.7421, 0.0000], [0.0000, 0.0000, 3.2743]], "species": ["Si", "Pd", "I", "I", "N"], "fractional_positions": [[0.0000, 0.0000, 0.0000], [0.5000, 0.5000, 0.5000], [0.0000, 0.5000, 0.0000], [0.5000, 0.0000, 0.0000], [0.0000, 0.0000, 0.5000]]}


No. 19
{"formula": "ReGeSb2I", "functional": "PBE", "state": "relaxed", "final_energy_ev_per_atom": -4.509, "formation_energy_uncorrected_mev_per_atom": 863, "dos_ef_per_ev_cell": 4.254, "lattice_angstrom": [[5.0788, 0.0000, 0.0000], [0.0000, 5.0788, 0.0000], [0.0000, 0.0000, 5.8635]], "species": ["Re", "Ge", "Sb", "Sb", "I"], "fractional_positions": [[0.0000, 0.0000, 0.0000], [0.5000, 0.5000, 0.5000], [0.0000, 0.5000, 0.0000], [0.5000, 0.0000, 0.0000], [0.0000, 0.0000, 0.5000]]}


No. 20
{"formula": "ErMg2Hg", "functional": "PBE", "state": "relaxed", "final_energy_ev_per_atom": -2.081, "dos_ef_per_ev_cell": 2.198, "lattice_angstrom": [[1.7243, 0.9955, 9.8211], [-1.7243, 0.9955, 9.8211], [0.0000, -1.9911, 9.8211]], "species": ["Er", "Mg", "Mg", "Hg"], "fractional_positions": [[0.0000, 0.0000, 0.0000], [0.2414, 0.2414, 0.2414], [0.4252, 0.4252, 0.4252], [0.8334, 0.8334, 0.8334]]}